The following is a PBE calculation of a geometry-optimized MgOs2Au structure, from Alexandria.

## Properties
* calculated volume: 62.2 Å³/f.u.
* Fermi-level density of states: 3.51 states/eV per cell
* calculated total energy: -6.553 eV per atom
* space group: P2/m (10)

Structure (extended XYZ):
```
4
Lattice="2.8630 0.0000 0.0000 0.0000 4.6371 0.0450 0.0000 3.2550 4.7191" Properties=species:S:1:pos:R:3 pbc="T T T"
Au 1.4315 3.9460 2.3821
Mg 0.0000 1.6275 2.3596
Os 0.0000 0.0000 0.0000
Os 1.4315 2.3185 0.0225
```

=====

The following is a PBE calculation of a geometry-optimized MgOs2Au structure, from Alexandria.

## Properties
* calculated volume: 63.2 Å³/f.u.
* Fermi-level density of states: 4.80 states/eV per cell
* calculated total energy: -6.361 eV per atom
* space group: I4/mmm (139)

Structure (extended XYZ):
```
4
Lattice="5.1588 0.0003 0.0000 2.3825 4.5757 0.0000 -3.7706 -2.2880 2.6760" Properties=species:S:1:pos:R:3 pbc="T T T"
Au 1.1912 2.2879 1.3380
Mg 2.5794 0.0001 1.3380
Os 0.0000 0.0000 0.0000
Os 3.7706 2.2880 0.0000
```

=====

The following is a PBE calculation of a geometry-optimized MgOsAu2 structure, from Alexandria.

## Properties
* calculated volume: 67.5 Å³/f.u.
* Fermi-level density of states: 6.20 states/eV per cell
* calculated total energy: -4.461 eV per atom
* space group: F-43m (216)

Structure (extended XYZ):
```
4
Lattice="-4.2477 1.1981 1.1848 -2.3831 -2.6041 2.9021 -0.8564 1.4921 4.2335" Properties=species:S:1:pos:R:3 pbc="T T T"
Au 0.0000 0.0000 0.0000
Au -1.8718 0.0215 2.0801
Mg -3.7436 0.0431 4.1602
Os -5.6154 0.0646 6.2403
```

=====

The following is a PBE calculation of a geometry-optimized MgOs2Au structure, from Alexandria.

## Properties
* calculated volume: 64.3 Å³/f.u.
* Fermi-level density of states: 2.83 states/eV per cell
* calculated total energy: -6.411 eV per atom
* space group: Imm2 (44)

Structure (extended XYZ):
```
4
Lattice="5.4568 0.0012 0.0011 2.6440 4.7734 -0.0011 -3.4128 -3.4691 2.4687" Properties=species:S:1:pos:R:3 pbc="T T T"
Au 4.0876 2.4092 0.0000
Mg 1.6070 1.8259 1.2338
Os 7.9860 4.7069 0.0000
Os 3.1586 -0.4747 1.2349
```

=====

The following is a PBE calculation of a geometry-optimized Mg3OsAu structure, from Alexandria.

## Properties
* calculated volume: 119.7 Å³/f.u.
* Fermi-level density of states: 2.47 states/eV per cell
* relative energy among the computed polymorphs: 0.00 eV/f.u.
* calculated total energy: -3.228 eV per atom
* space group: Pm-3m (221)

Structure (extended XYZ):
```
5
Lattice="-3.9082 2.2057 2.0355 1.7314 -1.0731 4.4870 2.4517 4.2738 0.0761" Properties=species:S:1:pos:R:3 pbc="T T T"
Os 0.0000 0.0000 0.0000
Mg 0.8657 -0.5365 2.2435
Mg 1.2259 2.1369 0.0380
Mg -1.9541 1.1029 1.0178
Au 0.1375 2.7032 3.2993
```

=====

The following is a PBE calculation of a geometry-optimized MgOsAu3 structure, from Alexandria.

## Properties
* calculated volume: 102.1 Å³/f.u.
* Fermi-level density of states: 2.26 states/eV per cell
* relative energy among the computed polymorphs: 2.22 eV/f.u.
* calculated total energy: -3.140 eV per atom
* space group: Pm-3m (221)

Structure (extended XYZ):
```
5
Lattice="-2.8808 0.1542 3.6770 0.2183 -4.6542 0.3662 3.6737 0.3975 2.8616" Properties=species:S:1:pos:R:3 pbc="T T T"
Os 0.5056 -2.0513 3.4524
Mg 0.0000 0.0000 0.0000
Au 0.1091 -2.3271 0.1831
Au 1.8369 0.1987 1.4308
Au -1.4404 0.0771 1.8385
```

=====

The following is a PBE calculation of a geometry-optimized MgOs2Au structure, from Alexandria.

## Properties
* calculated volume: 63.0 Å³/f.u.
* Fermi-level density of states: 4.29 states/eV per cell
* calculated total energy: -6.485 eV per atom
* space group: Pmmm (47)

Structure (extended XYZ):
```
4
Lattice="2.9032 0.0000 0.0000 0.0000 4.5352 0.0000 0.0000 0.0000 4.7842" Properties=species:S:1:pos:R:3 pbc="T T T"
Au 1.4516 0.0000 2.3921
Mg 0.0000 2.2676 2.3921
Os 0.0000 0.0000 0.0000
Os 1.4516 2.2676 0.0000
```

=====

The following is a PBE calculation of a geometry-optimized MgOsAu2 structure, from Alexandria.

## Properties
* calculated volume: 67.1 Å³/f.u.
* Fermi-level density of states: 3.19 states/eV per cell
* calculated total energy: -4.588 eV per atom
* space group: I4/mmm (139)

Structure (extended XYZ):
```
4
Lattice="-1.0491 -1.5446 4.4294 3.1444 -3.5680 0.6991 0.9056 4.5011 -1.4235" Properties=species:S:1:pos:R:3 pbc="T T T"
Au 0.0000 0.0000 0.0000
Au 1.0476 -2.5563 2.5643
Mg 2.5488 -0.8116 0.9199
Os 0.4521 0.2001 2.7851
```